Here is a geometry-optimized Li2CuAg5 structure from the Alexandria database. Energies are from GGA-PBE.

Cell: 4.424 5.280 12.689 Å, 90.00 90.00 114.77°
Atoms (fractional coordinates):
Ag: 0.629 0.259 0.948
Ag: 0.371 0.741 0.448
Ag: 0.371 0.741 0.052
Ag: 0.074 0.147 0.097
Ag: 0.074 0.147 0.403
Ag: 0.926 0.853 0.903
Ag: 0.470 0.940 0.750
Ag: 0.926 0.853 0.597
Ag: 0.629 0.259 0.552
Ag: 0.530 0.060 0.250
Li: 0.777 0.554 0.136
Li: 0.777 0.554 0.364
Li: 0.223 0.446 0.636
Li: 0.223 0.446 0.864
Cu: 0.749 0.499 0.750
Cu: 0.251 0.501 0.250

## Properties
E_form ... -36 meV per atom
E_tot ... -2.808 eV/atom
SG ... No. 63